Arrangement P

# PuAlV2 (GGA-PBE, relaxed)
# DOS at the Fermi energy = 6.1 states/eV/f.u.
# Spin magnetization = 3.9 μB per formula unit
data_PuAlV2
_chemical_formula_sum 'Pu1 Al1 V2'
_cell_length_a 4.376
_cell_length_b 4.376
_cell_length_c 3.301
_cell_angle_alpha 90.00
_cell_angle_beta 90.00
_cell_angle_gamma 90.00
_space_group_name_H-M_alt 'P 4/m m m'
_space_group_IT_number 123
_space_group_name_Hall '-P 4 2'
loop_
_atom_site_label
_atom_site_type_symbol
_atom_site_fract_x
_atom_site_fract_y
_atom_site_fract_z
Pu1 Pu 0.000 0.000 0.000
Al1 Al 0.500 0.500 0.000
V1 V 0.000 0.500 0.500

Arrangement Q

# PuAlV2 (GGA-PBE, relaxed)
# DOS at the Fermi energy = 9.0 states/eV/f.u.
# Spin magnetization = 4.1 μB per formula unit
data_PuAlV2
_chemical_formula_sum 'Pu4 Al4 V8'
_cell_length_a 6.326
_cell_length_b 6.326
_cell_length_c 6.326
_cell_angle_alpha 90.00
_cell_angle_beta 90.00
_cell_angle_gamma 90.00
_space_group_name_H-M_alt 'F m -3 m'
_space_group_IT_number 225
_space_group_name_Hall '-F 4 2 3'
loop_
_atom_site_label
_atom_site_type_symbol
_atom_site_fract_x
_atom_site_fract_y
_atom_site_fract_z
Pu1 Pu 0.000 0.000 0.000
Al1 Al 0.000 0.000 0.500
V1 V 0.250 0.250 0.250

The computed energies, referenced to the most stable structure and given in meV/atom, are arrangement P 6; arrangement Q 0.

Arrangement P

# PuAl2V (GGA-PBE, relaxed)
# DOS at the Fermi energy = 4.1 states/eV/f.u.
# Spin magnetization = 0.0 μB per formula unit
data_PuAl2V
_chemical_formula_sum 'Pu1 Al2 V1'
_cell_length_a 2.604
_cell_length_b 2.604
_cell_length_c 9.041
_cell_angle_alpha 90.00
_cell_angle_beta 90.00
_cell_angle_gamma 90.00
_space_group_name_H-M_alt 'P 4/m m m'
_space_group_IT_number 123
_space_group_name_Hall '-P 4 2'
loop_
_atom_site_label
_atom_site_type_symbol
_atom_site_fract_x
_atom_site_fract_y
_atom_site_fract_z
Pu1 Pu 0.000 0.000 0.000
Al1 Al 0.500 0.500 0.274
V1 V 0.000 0.000 0.500

Arrangement Q

# PuAl2V (GGA-PBE, relaxed)
# DOS at the Fermi energy = 6.2 states/eV/f.u.
# Spin magnetization = 4.9 μB per formula unit
data_PuAl2V
_chemical_formula_sum 'Pu3 Al6 V3'
_cell_length_a 2.8202
_cell_length_b 2.8202
_cell_length_c 31.2743
_cell_angle_alpha 90.00
_cell_angle_beta 90.00
_cell_angle_gamma 120.00
_space_group_name_H-M_alt 'R -3 m'
_space_group_IT_number 166
_space_group_name_Hall '-R 3 2"'
loop_
_atom_site_label
_atom_site_type_symbol
_atom_site_fract_x
_atom_site_fract_y
_atom_site_fract_z
Pu1 Pu 0.0000 0.0000 0.0000
Al1 Al 0.0000 0.0000 0.0977
V1 V 0.0000 0.0000 0.5000

The computed energies, referenced to the most stable structure and given in meV/atom, are arrangement P 0; arrangement Q 222.

Arrangement P

# YPuAl (GGA-PBE, relaxed)
# DOS at the Fermi energy = 7.9 states/eV/f.u.
# Spin magnetization = 5.7 μB per formula unit
data_YPuAl
_chemical_formula_sum 'Y2 Pu2 Al2'
_cell_length_a 3.322
_cell_length_b 3.322
_cell_length_c 13.735
_cell_angle_alpha 90.00
_cell_angle_beta 90.00
_cell_angle_gamma 90.00
_space_group_name_H-M_alt 'I 4 m m'
_space_group_IT_number 107
_space_group_name_Hall 'I 4 -2'
loop_
_atom_site_label
_atom_site_type_symbol
_atom_site_fract_x
_atom_site_fract_y
_atom_site_fract_z
Y1 Y 0.000 0.000 0.000
Pu1 Pu 0.000 0.000 0.699
Al1 Al 0.000 0.000 0.349

Arrangement Q

# YPuAl (GGA-PBE, relaxed)
# DOS at the Fermi energy = 6.0 states/eV/f.u.
# Spin magnetization = 5.8 μB per formula unit
data_YPuAl
_chemical_formula_sum 'Y1 Pu1 Al1'
_cell_length_a 5.1272
_cell_length_b 5.1272
_cell_length_c 3.2775
_cell_angle_alpha 90.00
_cell_angle_beta 90.00
_cell_angle_gamma 120.00
_space_group_name_H-M_alt 'P 3 m 1'
_space_group_IT_number 156
_space_group_name_Hall 'P 3 -2"'
loop_
_atom_site_label
_atom_site_type_symbol
_atom_site_fract_x
_atom_site_fract_y
_atom_site_fract_z
Y1 Y 0.0000 0.0000 0.0000
Pu1 Pu 0.3333 0.6667 0.3979
Al1 Al 0.6667 0.3333 0.6986

Arrangement R

# YPuAl (GGA-PBE, relaxed)
# DOS at the Fermi energy = 7.4 states/eV/f.u.
# Spin magnetization = 5.9 μB per formula unit
data_YPuAl
_chemical_formula_sum 'Y2 Pu2 Al2'
_cell_length_a 3.157
_cell_length_b 3.218
_cell_length_c 15.022
_cell_angle_alpha 90.00
_cell_angle_beta 90.00
_cell_angle_gamma 90.00
_space_group_name_H-M_alt 'A m m 2'
_space_group_IT_number 38
_space_group_name_Hall 'A 2 -2'
loop_
_atom_site_label
_atom_site_type_symbol
_atom_site_fract_x
_atom_site_fract_y
_atom_site_fract_z
Y1 Y 0.000 0.000 0.000
Pu1 Pu 0.000 0.000 0.709
Al1 Al 0.500 0.000 0.355

The computed energies, referenced to the most stable structure and given in meV/atom, are arrangement P 0; arrangement Q 50; arrangement R 91.